The following is a DFT calculation (PBE-GGA) of an optimized crystal structure of RbDyMgF6.

Results
Formation energy from raw total energies = -3.604 eV/atom

The structure in CIF format:
```
data_RbDyMgF6
_chemical_formula_sum 'Rb2 Dy2 Mg2 F12'
_cell_length_a 7.7127
_cell_length_b 7.2943
_cell_length_c 7.3922
_cell_angle_alpha 119.56
_cell_angle_beta 121.45
_cell_angle_gamma 90.00
_space_group_name_H-M_alt 'P 1'
_space_group_IT_number 1
_space_group_name_Hall 'P 1'
loop_
_atom_site_label
_atom_site_type_symbol
_atom_site_fract_x
_atom_site_fract_y
_atom_site_fract_z
_atom_site_occupancy
F1 F 0.4441 0.1432 0.2692 1
F2 F 0.5674 0.8174 0.1349 1
F3 F 0.4326 0.1826 0.8651 1
Rb1 Rb 0.1595 0.4095 0.3191 1
Dy1 Dy 0.5000 0.0000 0.5000 1
F4 F 0.1750 0.8568 0.7308 1
F5 F 0.1750 0.3740 0.7308 1
F6 F 0.8250 0.6260 0.2692 1
Mg1 Mg 0.5000 0.5000 0.0000 1
F7 F 0.5559 0.8568 0.7308 1
Mg2 Mg 0.5000 0.0000 0.0000 1
F8 F 0.8551 0.1051 0.7103 1
F9 F 0.4441 0.6260 0.2692 1
Dy2 Dy 0.0000 0.0000 0.5000 1
F10 F 0.5559 0.3740 0.7308 1
F11 F 0.8250 0.1432 0.2692 1
Rb2 Rb 0.8405 0.5905 0.6809 1
F12 F 0.1449 0.8949 0.2897 1
```